Model 1:
Density functional theory data (GGA-PBE) for a relaxed TbSmPa crystal.

Calculated values
**Space group**: P4/nmm, No. 129

Cell: 4.007 4.007 11.261 Å, 90.00 90.00 90.00°
Sites, in units of the cell vectors:
Sm  0.000  0.500  0.601
Sm  0.500  0.000  0.399
Pa  0.500  0.000  0.066
Pa  0.000  0.500  0.934
Tb  0.500  0.000  0.781
Tb  0.000  0.500  0.219

=====

Model 2:
Density functional theory data (GGA-PBE) for a relaxed TbSmPa crystal.

Calculated values
**Space group**: I4mm, No. 107

Cell: 3.406 3.406 8.091 Å, 102.15 102.15 90.00°
Sites, in units of the cell vectors:
Pa  0.334  0.334  0.668
Tb  0.988  0.988  0.976
Sm  0.678  0.678  0.356

=====

Model 3:
Density functional theory data (GGA-PBE) for a relaxed TbSmPa crystal.

Calculated values
**Space group**: P3m1, No. 156

Cell: 3.447 3.447 8.637 Å, 90.00 90.00 120.00°
Sites, in units of the cell vectors:
Pa  0.000  0.000  0.002
Sm  0.333  0.667  0.681
Tb  0.667  0.333  0.317

=====

Of them, the most stable is model 3 and the least stable is model 1.